No. 1
BaCa3Pt after structural relaxation. Source: Alexandria, functional PBE.

a b c (Å): 15.924 15.924 5.563
angles (deg): 90.00 90.00 154.34
Element x y z (fractional)
Ca: 0.550 0.977 0.250
Ca: 0.450 0.023 0.750
Ca: 0.023 0.450 0.250
Ca: 0.977 0.550 0.750
Ca: 0.000 0.000 0.000
Ca: 0.000 0.000 0.500
Pt: 0.218 0.782 0.250
Pt: 0.782 0.218 0.750
Ba: 0.878 0.122 0.750
Ba: 0.122 0.878 0.250

Total moment   2.11 Bohr magnetons per cell
Theoretical density   2.5 g/cm³
Space-group type   No. 63
Energy above the lowest structure with this stoichiometry   0.6214 eV/atom
Formation energy   160 meV/atom
Raw total energy   -2.634 eV/atom



No. 2
BeHg after structural relaxation. Source: Alexandria, functional PBE.

a b c (Å): 10.146 3.768 7.116
angles (deg): 90.00 90.00 90.00
Element x y z (fractional)
Be: 0.480 0.750 0.074
Be: 0.849 0.250 0.397
Be: 0.980 0.750 0.426
Be: 0.020 0.250 0.574
Be: 0.151 0.750 0.603
Be: 0.349 0.250 0.103
Be: 0.651 0.750 0.897
Be: 0.520 0.250 0.926
Hg: 0.131 0.250 0.875
Hg: 0.631 0.250 0.625
Hg: 0.369 0.750 0.375
Hg: 0.635 0.250 0.225
Hg: 0.869 0.750 0.125
Hg: 0.865 0.750 0.725
Hg: 0.135 0.250 0.275
Hg: 0.365 0.750 0.775

Total moment   0.00 Bohr magnetons per cell
Theoretical density   10.2 g/cm³
Space-group type   No. 62
Energy above the lowest structure with this stoichiometry   0.0000 eV/atom
Formation energy   295 meV/atom
Raw total energy   -1.719 eV/atom



No. 3
BiPb3C after structural relaxation. Source: Alexandria, functional PBE.

a b c (Å): 5.149 5.149 5.149
angles (deg): 90.00 90.00 90.00
Element x y z (fractional)
Pb: 0.000 0.500 0.000
Pb: 0.500 0.000 0.000
Pb: 0.000 0.000 0.500
Bi: 0.500 0.500 0.500
C: 0.000 0.000 0.000

Total moment   0.00 Bohr magnetons per cell
Theoretical density   10.2 g/cm³
Space-group type   No. 221
Energy above the lowest structure with this stoichiometry   0.0000 eV/atom
Formation energy   781 meV/atom
Raw total energy   -4.065 eV/atom



No. 4
La2BeBiSe after structural relaxation. Source: Alexandria, functional PBE.

a b c (Å): 5.661 4.235 5.661
angles (deg): 90.00 90.00 90.00
Element x y z (fractional)
La: 0.000 0.000 0.500
La: 0.500 0.000 0.000
Bi: 0.500 0.500 0.500
Se: 0.000 0.500 0.000
Be: 0.000 0.000 0.000

Total moment   0.00 Bohr magnetons per cell
Theoretical density   7.0 g/cm³
Space-group type   No. 123
Raw total energy   -4.740 eV/atom
Energy relative to the elements, uncorrected   -0.55 eV/atom



No. 5
Pa2NbZnN5 after structural relaxation. Source: Alexandria, functional PBE.

a b c (Å): 3.317 6.891 10.034
angles (deg): 90.00 90.00 103.92
Element x y z (fractional)
Pa: 0.881 0.763 0.189
Pa: 0.133 0.266 0.292
Pa: 0.867 0.734 0.792
Pa: 0.119 0.237 0.689
N: 0.307 0.614 0.353
N: 0.645 0.290 0.512
N: 0.711 0.422 0.156
N: 0.052 0.104 0.068
N: 0.289 0.578 0.656
N: 0.355 0.710 0.012
N: 0.508 0.016 0.278
N: 0.492 0.984 0.778
N: 0.693 0.386 0.853
N: 0.948 0.896 0.568
Nb: 0.799 0.598 0.501
Nb: 0.201 0.402 0.001
Zn: 0.483 0.967 0.475
Zn: 0.517 0.033 0.975

Total moment   0.00 Bohr magnetons per cell
Theoretical density   10.3 g/cm³
Space-group type   No. 36
Raw total energy   -9.070 eV/atom
Energy relative to the elements, uncorrected   -1.07 eV/atom



No. 6
MnFe2Ni after structural relaxation. Source: Alexandria, functional PBE.

a b c (Å): 4.720 4.720 4.720
angles (deg): 144.31 129.39 63.47
Element x y z (fractional)
Fe: 0.754 0.254 0.500
Fe: 0.997 0.997 0.000
Mn: 0.501 0.501 0.000
Ni: 0.248 0.748 0.500

Total moment   8.26 Bohr magnetons per cell
Theoretical density   8.0 g/cm³
Space-group type   No. 44
Formation energy   115 meV/atom
Raw total energy   -7.854 eV/atom



No. 7
LaTbTmHg after structural relaxation. Source: Alexandria, functional PBE.

a b c (Å): 5.502 5.502 5.502
angles (deg): 60.00 60.00 60.00
Element x y z (fractional)
La: 0.250 0.250 0.250
Hg: 0.500 0.500 0.500
Tb: 0.750 0.750 0.750
Tm: 0.000 0.000 0.000

Total moment   0.01 Bohr magnetons per cell
Theoretical density   9.4 g/cm³
Space-group type   No. 216
Energy above the lowest structure with this stoichiometry   0.1421 eV/atom
Formation energy   -83 meV/atom
Raw total energy   -3.666 eV/atom



No. 8
In4MoRh after structural relaxation. Source: Alexandria, functional PBE.

a b c (Å): 5.630 5.630 5.630
angles (deg): 60.00 60.00 60.00
Element x y z (fractional)
In: 0.375 0.875 0.375
In: 0.375 0.375 0.375
In: 0.875 0.375 0.375
In: 0.375 0.375 0.875
Rh: 0.000 0.000 0.000
Mo: 0.750 0.750 0.750

Total moment   2.55 Bohr magnetons per cell
Theoretical density   8.7 g/cm³
Space-group type   No. 216
Formation energy   804 meV/atom
Raw total energy   -4.052 eV/atom



No. 9
LiH3Pd after structural relaxation. Source: Alexandria, functional PBE.

a b c (Å): 11.619 5.172 5.172
angles (deg): 141.82 147.52 32.48
Element x y z (fractional)
Li: 0.628 0.006 0.994
Li: 0.372 0.994 0.006
Pd: 0.108 0.020 0.980
Pd: 0.892 0.980 0.020
H: 0.058 0.628 0.372
H: 0.942 0.372 0.628
H: 0.584 0.249 0.751
H: 0.416 0.751 0.249
H: 0.818 0.237 0.763
H: 0.182 0.763 0.237

Total moment   0.00 Bohr magnetons per cell
Theoretical density   4.5 g/cm³
Space-group type   No. 12
Raw total energy   -3.658 eV/atom



No. 10
TbGe2RuRh after structural relaxation. Source: Alexandria, functional PBE.

a b c (Å): 4.209 4.209 5.864
angles (deg): 111.03 111.03 90.00
Element x y z (fractional)
Rh: 0.750 0.250 0.500
Ge: 0.374 0.374 0.748
Ge: 0.626 0.626 0.252
Tb: 0.000 0.000 0.000
Ru: 0.250 0.750 0.500

Total moment   0.00 Bohr magnetons per cell
Theoretical density   9.4 g/cm³
Space-group type   No. 119
Formation energy   -795 meV/atom
Raw total energy   -6.894 eV/atom



No. 11
Pm2DyErTm6 after structural relaxation. Source: Alexandria, functional PBE.

a b c (Å): 9.566 8.682 8.682
angles (deg): 118.12 94.55 94.55
Element x y z (fractional)
Dy: 0.750 0.019 0.981
Dy: 0.250 0.981 0.019
Er: 0.250 0.407 0.593
Er: 0.750 0.593 0.407
Tm: 0.119 0.708 0.496
Tm: 0.619 0.496 0.708
Tm: 0.942 0.874 0.255
Tm: 0.558 0.745 0.126
Tm: 0.814 0.425 0.978
Tm: 0.314 0.978 0.425
Tm: 0.381 0.504 0.292
Tm: 0.881 0.292 0.504
Tm: 0.442 0.255 0.874
Tm: 0.686 0.022 0.575
Tm: 0.058 0.126 0.745
Tm: 0.186 0.575 0.022
Pm: 0.457 0.806 0.702
Pm: 0.957 0.702 0.806
Pm: 0.043 0.298 0.194
Pm: 0.543 0.194 0.298

Total moment   0.00 Bohr magnetons per cell
Theoretical density   8.6 g/cm³
Space-group type   No. 15
Formation energy   118 meV/atom
Raw total energy   -4.431 eV/atom



No. 12
Pm2Pu2Ru3 after structural relaxation. Source: Alexandria, functional PBE.

a b c (Å): 4.588 4.588 9.135
angles (deg): 104.43 90.25 119.71
Element x y z (fractional)
Ru: 0.261 0.523 0.784
Ru: 0.000 0.000 0.000
Ru: 0.739 0.477 0.216
Pm: 0.125 0.248 0.372
Pm: 0.875 0.752 0.628
Pu: 0.375 0.751 0.126
Pu: 0.625 0.249 0.874

Total moment   8.45 Bohr magnetons per cell
Theoretical density   11.2 g/cm³
Space-group type   No. 12
Formation energy   -169 meV/atom
Raw total energy   -9.597 eV/atom



No. 13
KLiW after structural relaxation. Source: Alexandria, functional PBE.

a b c (Å): 6.681 6.681 6.681
angles (deg): 157.61 139.34 46.90
Element x y z (fractional)
W: 0.289 0.289 0.000
Li: 0.712 0.712 0.000
K: 0.999 0.999 0.000

Total moment   0.00 Bohr magnetons per cell
Theoretical density   5.2 g/cm³
Space-group type   No. 44
Energy above the lowest structure with this stoichiometry   0.3107 eV/atom
Formation energy   1323 meV/atom
Raw total energy   -3.999 eV/atom



No. 14
CeTlGa after structural relaxation. Source: Alexandria, functional PBE.

a b c (Å): 4.237 4.614 4.614
angles (deg): 120.00 90.00 90.00
Element x y z (fractional)
Ga: 0.057 0.000 0.000
Tl: 0.257 0.333 0.667
Ce: 0.686 0.667 0.333

Total moment   0.69 Bohr magnetons per cell
Theoretical density   8.8 g/cm³
Space-group type   No. 156
Energy above the lowest structure with this stoichiometry   0.0000 eV/atom
Formation energy   -303 meV/atom
Raw total energy   -4.079 eV/atom



No. 15
CdNiW2 after structural relaxation. Source: Alexandria, functional PBE.

a b c (Å): 4.811 4.811 4.811
angles (deg): 130.53 130.53 72.55
Element x y z (fractional)
W: 0.000 0.000 0.000
W: 0.250 0.750 0.500
Cd: 0.500 0.500 0.000
Ni: 0.750 0.250 0.500

Total moment   0.00 Bohr magnetons per cell
Theoretical density   14.2 g/cm³
Space-group type   No. 119
Formation energy   542 meV/atom
Raw total energy   -7.609 eV/atom



No. 16
Tb8Y6Zr after structural relaxation. Source: Alexandria, functional PBE.

a b c (Å): 8.557 8.557 8.557
angles (deg): 63.70 63.70 63.70
Element x y z (fractional)
Tb: 0.722 0.752 0.110
Tb: 0.278 0.248 0.890
Tb: 0.576 0.576 0.576
Tb: 0.752 0.110 0.722
Tb: 0.424 0.424 0.424
Tb: 0.248 0.890 0.278
Tb: 0.110 0.722 0.752
Tb: 0.890 0.278 0.248
Y: 0.892 0.455 0.773
Y: 0.227 0.108 0.545
Y: 0.545 0.227 0.108
Y: 0.108 0.545 0.227
Y: 0.773 0.892 0.455
Y: 0.455 0.773 0.892
Zr: 0.000 0.000 0.000

Total moment   0.00 Bohr magnetons per cell
Theoretical density   6.6 g/cm³
Space-group type   No. 148
Formation energy   122 meV/atom
Raw total energy   -5.503 eV/atom



No. 17
CsSn3Ge after structural relaxation. Source: Alexandria, functional PBE.

a b c (Å): 5.642 5.642 5.642
angles (deg): 90.00 90.00 90.00
Element x y z (fractional)
Cs: 0.500 0.500 0.500
Sn: 0.000 0.500 0.000
Sn: 0.000 0.000 0.500
Sn: 0.500 0.000 0.000
Ge: 0.000 0.000 0.000

Total moment   0.00 Bohr magnetons per cell
Theoretical density   5.2 g/cm³
Space-group type   No. 221
Energy above the lowest structure with this stoichiometry   0.3883 eV/atom
Formation energy   276 meV/atom
Raw total energy   -3.220 eV/atom



No. 18
PBrO after structural relaxation. Source: Alexandria, functional PBE.

a b c (Å): 4.500 6.125 6.935
angles (deg): 94.99 90.91 109.47
Element x y z (fractional)
P: 0.694 0.932 0.725
P: 0.143 0.841 0.429
O: 0.422 0.786 0.548
O: 0.016 0.991 0.605
Br: 0.697 0.612 0.868
Br: 0.423 0.156 0.279

Total moment   0.00 Bohr magnetons per cell
Theoretical density   2.4 g/cm³
Space-group type   No. 1
Raw total energy   -5.019 eV/atom
Energy relative to the elements, uncorrected   -1.01 eV/atom



No. 19
Mn5AgPd6 after structural relaxation. Source: Alexandria, functional PBE.

a b c (Å): 4.250 6.866 7.512
angles (deg): 117.19 106.43 90.00
Element x y z (fractional)
Mn: 0.672 0.672 0.345
Mn: 0.658 0.158 0.316
Mn: 0.328 0.328 0.655
Mn: 0.000 0.500 0.000
Mn: 0.342 0.842 0.684
Pd: 0.830 0.092 0.660
Pd: 0.170 0.908 0.340
Pd: 0.830 0.568 0.660
Pd: 0.170 0.432 0.340
Pd: 0.500 0.729 0.000
Pd: 0.500 0.271 0.000
Ag: 0.000 0.000 0.000

Total moment   22.56 Bohr magnetons per cell
Theoretical density   9.2 g/cm³
Space-group type   No. 71
Formation energy   -182 meV/atom
Raw total energy   -6.836 eV/atom



No. 20
Hg2MoAs after structural relaxation. Source: Alexandria, functional PBE.

a b c (Å): 5.113 5.113 5.646
angles (deg): 65.63 65.63 37.88
Element x y z (fractional)
Mo: 0.511 0.511 0.377
Hg: 0.002 0.002 0.970
Hg: 0.779 0.779 0.779
As: 0.208 0.208 0.374

Total moment   0.00 Bohr magnetons per cell
Theoretical density   11.6 g/cm³
Space-group type   No. 8
Formation energy   360 meV/atom
Raw total energy   -3.661 eV/atom



No. 21
TbDyHo3Er after structural relaxation. Source: Alexandria, functional PBE.

a b c (Å): 4.980 7.883 9.955
angles (deg): 90.00 90.00 108.50
Element x y z (fractional)
Tb: 0.000 0.000 0.500
Tb: 0.000 0.000 0.000
Er: 0.167 0.334 0.250
Er: 0.833 0.666 0.750
Ho: 0.667 0.334 0.000
Ho: 0.833 0.666 0.250
Ho: 0.167 0.334 0.750
Ho: 0.667 0.334 0.500
Ho: 0.333 0.666 0.000
Ho: 0.333 0.666 0.500
Dy: 0.500 0.000 0.250
Dy: 0.500 0.000 0.750

Total moment   0.00 Bohr magnetons per cell
Theoretical density   8.8 g/cm³
Space-group type   No. 11
Formation energy   19 meV/atom
Raw total energy   -4.569 eV/atom



No. 22
Cr3HBr after structural relaxation. Source: Alexandria, functional PBE.

a b c (Å): 3.857 3.857 3.857
angles (deg): 90.00 90.00 90.00
Element x y z (fractional)
Cr: 0.500 0.000 0.000
Cr: 0.000 0.500 0.000
Cr: 0.000 0.000 0.500
Br: 0.500 0.500 0.500
H: 0.000 0.000 0.000

Total moment   5.86 Bohr magnetons per cell
Theoretical density   6.9 g/cm³
Space-group type   No. 221
Energy above the lowest structure with this stoichiometry   0.0000 eV/atom
Raw total energy   -5.943 eV/atom



No. 23
Ce2Ho3ErAs6 after structural relaxation. Source: Alexandria, functional PBE.

a b c (Å): 4.139 8.269 9.239
angles (deg): 102.87 102.95 90.00
Element x y z (fractional)
As: 0.334 0.414 0.669
As: 0.999 0.249 0.997
As: 0.334 0.921 0.668
As: 0.666 0.079 0.332
As: 0.666 0.586 0.331
As: 0.001 0.751 0.003
Er: 0.500 0.000 0.000
Ho: 0.833 0.166 0.667
Ho: 0.167 0.834 0.333
Ho: 0.500 0.500 0.000
Ce: 0.835 0.669 0.669
Ce: 0.165 0.331 0.331

Total moment   1.23 Bohr magnetons per cell
Theoretical density   7.7 g/cm³
Space-group type   No. 12
Formation energy   -1492 meV/atom
Raw total energy   -6.330 eV/atom



No. 24
Ho2FeC2 after structural relaxation. Source: Alexandria, functional PBE.

a b c (Å): 5.011 6.215 9.651
angles (deg): 90.00 90.00 90.00
Element x y z (fractional)
Ho: 0.250 0.315 0.446
Ho: 0.250 0.482 0.783
Ho: 0.750 0.518 0.217
Ho: 0.250 0.982 0.717
Ho: 0.750 0.185 0.946
Ho: 0.250 0.815 0.054
Ho: 0.750 0.018 0.283
Ho: 0.750 0.685 0.554
Fe: 0.250 0.770 0.356
Fe: 0.750 0.230 0.644
Fe: 0.750 0.730 0.856
Fe: 0.250 0.270 0.144
C: 0.750 0.967 0.740
C: 0.250 0.192 0.961
C: 0.250 0.692 0.539
C: 0.250 0.533 0.240
C: 0.250 0.033 0.260
C: 0.750 0.467 0.760
C: 0.750 0.308 0.461
C: 0.750 0.808 0.039

Total moment   1.91 Bohr magnetons per cell
Theoretical density   9.1 g/cm³
Space-group type   No. 62
Energy above the lowest structure with this stoichiometry   0.0073 eV/atom
Formation energy   -290 meV/atom
Raw total energy   -7.503 eV/atom